# Cu7Ag | OQMD via LeMat-Bulk | PBE-GGA | optimized geometry
# ΔE to the lowest computed polymorph ... 0.006 eV per atom
# Energy relative to the elements ... 0.05 eV/atom
data_Cu7Ag
_chemical_formula_sum 'Cu14 Ag2'
_symmetry_space_group_name_H-M 'C m m m'
_symmetry_Int_Tables_number 65
_symmetry_space_group_name_Hall '-C 2 2'
_cell_length_a 5.242
_cell_length_b 10.412
_cell_length_c 3.681
_cell_angle_alpha 90.00
_cell_angle_beta 90.00
_cell_angle_gamma 90.00
loop_
_atom_site_label
_atom_site_type_symbol
_atom_site_fract_x
_atom_site_fract_y
_atom_site_fract_z
Cu1 Cu 0.000 0.000 0.000
Cu2 Cu 0.000 0.246 0.000
Cu3 Cu 0.242 0.129 0.500
Ag1 Ag 0.000 0.500 0.000